First-principles (PBE) data for a relaxed BaTiSb2 crystal, as listed in Alexandria.

a = 7.7116 Å, b = 7.7116 Å, c = 7.7116 Å
α = 90.00°, β = 90.00°, γ = 90.00°
With the nearest neighbours (Å) after each atom.
Space group Fm-3m (No. 225)
Symmetry-distinct sites (fractional):
Ba 0.0000 0.0000 0.0000 [4 per cell]  8 Sb 3.34
Ti 0.0000 0.0000 0.5000 [4 per cell]  8 Sb 3.34
Sb 0.2500 0.2500 0.2500 [8 per cell]  4 Ba 3.34, 4 Ti 3.34

Calculated values
E above lowest polymorph: 0.429 eV per atom
Crystal system: cubic
Magnetization: 1.63 μB/f.u.